Computed, not measured: VAg2SnOs after structural relaxation at the PBE level of DFT.

Geometry as CIF:
```
data_VAg2SnOs
_chemical_formula_sum 'V1 Ag2 Sn1 Os1'
_cell_length_a 5.074
_cell_length_b 5.074
_cell_length_c 4.949
_cell_angle_alpha 90.00
_cell_angle_beta 90.00
_cell_angle_gamma 90.00
_symmetry_space_group_name_H-M 'P 4/m m m'
_symmetry_Int_Tables_number 123
_symmetry_space_group_name_Hall '-P 4 2'
loop_
_atom_site_label
_atom_site_type_symbol
_atom_site_fract_x
_atom_site_fract_y
_atom_site_fract_z
V1 V 0.000 0.000 0.000
Ag1 Ag 0.000 0.500 0.500
Sn1 Sn 0.500 0.500 0.000
Os1 Os 0.500 0.500 0.500
```

Final energy = -4.4375 eV per atom
Theoretical density = 7500 kg/m3

=====

Computed, not measured: ZnAg2SnOs after structural relaxation at the PBE level of DFT.

Geometry as CIF:
```
data_ZnAg2SnOs
_chemical_formula_sum 'Zn1 Ag2 Sn1 Os1'
_cell_length_a 5.102
_cell_length_b 5.102
_cell_length_c 5.044
_cell_angle_alpha 90.00
_cell_angle_beta 90.00
_cell_angle_gamma 90.00
_symmetry_space_group_name_H-M 'P 4/m m m'
_symmetry_Int_Tables_number 123
_symmetry_space_group_name_Hall '-P 4 2'
loop_
_atom_site_label
_atom_site_type_symbol
_atom_site_fract_x
_atom_site_fract_y
_atom_site_fract_z
Zn1 Zn 0.000 0.000 0.000
Ag1 Ag 0.000 0.500 0.500
Sn1 Sn 0.500 0.500 0.500
Os1 Os 0.500 0.500 0.000
```

Final energy = -3.0695 eV per atom
Theoretical density = 7463 kg/m3

=====

Computed, not measured: Sr2AgOs after structural relaxation at the PBE level of DFT.

Geometry as CIF:
```
data_Sr2AgOs
_chemical_formula_sum 'Sr8 Ag4 Os4'
_cell_length_a 7.297
_cell_length_b 7.297
_cell_length_c 7.297
_cell_angle_alpha 90.00
_cell_angle_beta 90.00
_cell_angle_gamma 90.00
_symmetry_space_group_name_H-M 'F -4 3 m'
_symmetry_Int_Tables_number 216
_symmetry_space_group_name_Hall 'F -4 2 3'
loop_
_atom_site_label
_atom_site_type_symbol
_atom_site_fract_x
_atom_site_fract_y
_atom_site_fract_z
Sr1 Sr 0.000 0.000 0.000
Sr2 Sr 0.250 0.250 0.250
Ag1 Ag 0.000 0.000 0.500
Os1 Os 0.250 0.250 0.750
```

Final energy = -3.6766 eV per atom
Theoretical density = 8090 kg/m3

=====

Computed, not measured: SrAgOs2 after structural relaxation at the PBE level of DFT.

Geometry as CIF:
```
data_SrAgOs2
_chemical_formula_sum 'Sr2 Ag2 Os4'
_cell_length_a 5.803
_cell_length_b 9.686
_cell_length_c 2.642
_cell_angle_alpha 90.00
_cell_angle_beta 90.00
_cell_angle_gamma 90.00
_symmetry_space_group_name_H-M 'C m m m'
_symmetry_Int_Tables_number 65
_symmetry_space_group_name_Hall '-C 2 2'
loop_
_atom_site_label
_atom_site_type_symbol
_atom_site_fract_x
_atom_site_fract_y
_atom_site_fract_z
Sr1 Sr 0.000 0.000 0.000
Ag1 Ag 0.000 0.500 0.000
Os1 Os 0.250 0.250 0.500
```

Final energy = -5.7144 eV per atom
Theoretical density = 12880 kg/m3

=====

Computed, not measured: SrAgOs3 after structural relaxation at the PBE level of DFT.

Geometry as CIF:
```
data_SrAgOs3
_chemical_formula_sum 'Sr1 Ag1 Os3'
_cell_length_a 4.896
_cell_length_b 4.896
_cell_length_c 4.896
_cell_angle_alpha 90.00
_cell_angle_beta 90.00
_cell_angle_gamma 90.00
_symmetry_space_group_name_H-M 'P m -3 m'
_symmetry_Int_Tables_number 221
_symmetry_space_group_name_Hall '-P 4 2 3'
loop_
_atom_site_label
_atom_site_type_symbol
_atom_site_fract_x
_atom_site_fract_y
_atom_site_fract_z
Sr1 Sr 0.000 0.000 0.000
Ag1 Ag 0.500 0.500 0.500
Os1 Os 0.000 0.000 0.500
```

Final energy = -4.0617 eV per atom
Theoretical density = 10839 kg/m3

=====

Computed, not measured: SrAgOs2 after structural relaxation at the PBE level of DFT.

Geometry as CIF:
```
data_SrAgOs2
_chemical_formula_sum 'Sr1 Ag1 Os2'
_cell_length_a 3.943
_cell_length_b 3.943
_cell_length_c 4.861
_cell_angle_alpha 90.00
_cell_angle_beta 90.00
_cell_angle_gamma 90.00
_symmetry_space_group_name_H-M 'P 4/m m m'
_symmetry_Int_Tables_number 123
_symmetry_space_group_name_Hall '-P 4 2'
loop_
_atom_site_label
_atom_site_type_symbol
_atom_site_fract_x
_atom_site_fract_y
_atom_site_fract_z
Sr1 Sr 0.000 0.000 0.000
Ag1 Ag 0.500 0.500 0.000
Os1 Os 0.000 0.500 0.500
```

Final energy = -5.7590 eV per atom
Theoretical density = 12656 kg/m3

=====

Computed, not measured: SrAgOs2 after structural relaxation at the PBE level of DFT.

Geometry as CIF:
```
data_SrAgOs2
_chemical_formula_sum 'Sr4 Ag4 Os8'
_cell_length_a 4.694
_cell_length_b 4.694
_cell_length_c 19.214
_cell_angle_alpha 90.00
_cell_angle_beta 90.00
_cell_angle_gamma 90.00
_symmetry_space_group_name_H-M 'I -4 2 d'
_symmetry_Int_Tables_number 122
_symmetry_space_group_name_Hall 'I -4 2bw'
loop_
_atom_site_label
_atom_site_type_symbol
_atom_site_fract_x
_atom_site_fract_y
_atom_site_fract_z
Sr1 Sr 0.000 0.000 0.000
Ag1 Ag 0.000 0.000 0.500
Os1 Os 0.014 0.250 0.625
```

Final energy = -5.7457 eV per atom
Theoretical density = 9037 kg/m3

=====

Computed, not measured: SrAgOs2 after structural relaxation at the PBE level of DFT.

Geometry as CIF:
```
data_SrAgOs2
_chemical_formula_sum 'Sr2 Ag2 Os4'
_cell_length_a 3.931
_cell_length_b 3.931
_cell_length_c 9.949
_cell_angle_alpha 90.00
_cell_angle_beta 90.00
_cell_angle_gamma 90.00
_symmetry_space_group_name_H-M 'I 4/m m m'
_symmetry_Int_Tables_number 139
_symmetry_space_group_name_Hall '-I 4 2'
loop_
_atom_site_label
_atom_site_type_symbol
_atom_site_fract_x
_atom_site_fract_y
_atom_site_fract_z
Sr1 Sr 0.000 0.000 0.000
Ag1 Ag 0.000 0.000 0.500
Os1 Os 0.000 0.500 0.250
```

Final energy = -5.6895 eV per atom
Theoretical density = 12439 kg/m3